(1)
# Nd3Re2O9 (SCAN, PBEsol geometry)
data_Nd3Re2O9
_cell_length_a 5.551
_cell_length_b 6.800
_cell_length_c 10.949
_cell_angle_alpha 77.01
_cell_angle_beta 75.54
_cell_angle_gamma 68.62
_space_group_name_H-M_alt 'P -1'
_space_group_IT_number 2
loop_
_space_group_symop_operation_xyz
'x,y,z'
'-x,-y,-z'
loop_
_atom_site_label
_atom_site_type_symbol
_atom_site_fract_x
_atom_site_fract_y
_atom_site_fract_z
_atom_site_occupancy
Nd1 Nd 0.005 0.218 0.270 1
Nd2 Nd 0.228 0.157 0.884 1
Nd3 Nd 0.294 0.602 0.372 1
Re1 Re 0.348 0.126 0.570 1
Re2 Re 0.484 0.613 0.907 1
O1 O 0.061 0.114 0.719 1
O2 O 0.080 0.213 0.473 1
O3 O 0.132 0.812 0.938 1
O4 O 0.180 0.504 0.197 1
O5 O 0.285 0.424 0.583 1
O6 O 0.349 0.473 0.817 1
O7 O 0.391 0.167 0.074 1
O8 O 0.404 0.808 0.593 1
O9 O 0.412 0.928 0.314 1
# Raw formation energy: -2.815 eV per atom
# Density of states at the Fermi level: 0.103 states/eV per atom


(2)
# Nd3RuO7 (SCAN, PBEsol geometry)
data_Nd3RuO7
_cell_length_a 10.888
_cell_length_b 7.314
_cell_length_c 7.482
_cell_angle_alpha 90.00
_cell_angle_beta 90.00
_cell_angle_gamma 90.00
_space_group_name_H-M_alt 'C m c m'
_space_group_IT_number 63
_space_group_name_Hall '-C 2c 2'
loop_
_atom_site_label
_atom_site_type_symbol
_atom_site_fract_x
_atom_site_fract_y
_atom_site_fract_z
_atom_site_occupancy
Nd1 Nd 0.000 0.000 0.000 1
Nd2 Nd 0.220 0.313 0.250 1
Ru1 Ru 0.000 0.500 0.000 1
O1 O 0.000 0.416 0.250 1
O2 O 0.126 0.315 0.542 1
O3 O 0.131 0.030 0.250 1
# Raw formation energy: -2.969 eV per atom


(3)
# SrNdZnRuO6 (SCAN, PBEsol geometry)
data_SrNdZnRuO6
_cell_length_a 5.501
_cell_length_b 5.649
_cell_length_c 9.536
_cell_angle_alpha 90.00
_cell_angle_beta 125.23
_cell_angle_gamma 90.00
_space_group_name_H-M_alt 'P 1 c 1'
_space_group_IT_number 7
loop_
_space_group_symop_operation_xyz
'x,y,z'
'x,-y,z+1/2'
loop_
_atom_site_label
_atom_site_type_symbol
_atom_site_fract_x
_atom_site_fract_y
_atom_site_fract_z
_atom_site_occupancy
Sr1 Sr 0.000 0.209 0.000 1
Nd1 Nd 0.524 0.309 0.501 1
Zn1 Zn 0.760 0.240 0.251 1
Ru1 Ru 0.257 0.247 0.749 1
O1 O 0.007 0.477 0.207 1
O2 O 0.108 0.234 0.506 1
O3 O 0.432 0.275 0.993 1
O4 O 0.492 0.041 0.296 1
O5 O 0.571 0.459 0.787 1
O6 O 0.921 0.056 0.704 1
# Raw formation energy: -2.383 eV per atom


(4)
# Nd2S3O12 (SCAN, PBEsol geometry)
data_Nd2S3O12
_cell_length_a 21.469
_cell_length_b 6.646
_cell_length_c 6.917
_cell_angle_alpha 90.00
_cell_angle_beta 106.58
_cell_angle_gamma 90.00
_space_group_name_H-M_alt 'C 1 2/c 1'
_space_group_IT_number 15
loop_
_space_group_symop_operation_xyz
'x,y,z'
'-x,-y,-z'
'-x,y,-z+1/2'
'x,-y,z+1/2'
'x+1/2,y+1/2,z'
'-x+1/2,-y+1/2,-z'
'-x+1/2,y+1/2,-z+1/2'
'x+1/2,-y+1/2,z+1/2'
loop_
_atom_site_label
_atom_site_type_symbol
_atom_site_fract_x
_atom_site_fract_y
_atom_site_fract_z
_atom_site_occupancy
Nd1 Nd 0.132 0.142 0.135 1
S1 S 0.000 0.167 0.250 1
S2 S 0.184 0.317 0.682 1
O1 O 0.024 0.287 0.108 1
O2 O 0.056 0.034 0.356 1
O3 O 0.148 0.494 0.131 1
O4 O 0.153 0.189 0.810 1
O5 O 0.176 0.192 0.498 1
O6 O 0.248 0.148 0.212 1
# Raw formation energy: -2.415 eV per atom
# Density of states at the Fermi level: 0.000 states/eV per atom


(5)
# Nd2SO2 (SCAN, PBEsol geometry)
data_Nd2SO2
_cell_length_a 3.9342
_cell_length_b 3.9342
_cell_length_c 6.7550
_cell_angle_alpha 90.00
_cell_angle_beta 90.00
_cell_angle_gamma 120.00
_space_group_name_H-M_alt 'P -3 m 1'
_space_group_IT_number 164
_space_group_name_Hall '-P 3 2"'
loop_
_atom_site_label
_atom_site_type_symbol
_atom_site_fract_x
_atom_site_fract_y
_atom_site_fract_z
_atom_site_occupancy
Nd1 Nd 0.3333 0.6667 0.2800 1
S1 S 0.0000 0.0000 0.0000 1
O1 O 0.3333 0.6667 0.6297 1
# Raw formation energy: -3.421 eV per atom
# Density of states at the Fermi level: 0.000 states/eV per atom


(6)
# Nd4Si2S3O7 (SCAN, PBEsol geometry)
data_Nd4Si2S3O7
_cell_length_a 11.892
_cell_length_b 11.892
_cell_length_c 14.044
_cell_angle_alpha 90.00
_cell_angle_beta 90.00
_cell_angle_gamma 90.00
_space_group_name_H-M_alt 'I 41/a m d'
_space_group_IT_number 141
loop_
_space_group_symop_operation_xyz
'x,y,z'
'-x,-y,-z'
'-y+1/4,x+3/4,z+1/4'
'y+1/4,-x+3/4,-z+1/4'
'-x+1/2,-y,z+1/2'
'x+1/2,y,-z+1/2'
'y+1/4,-x+1/4,z+3/4'
'-y+1/4,x+1/4,-z+3/4'
'x,-y,-z'
'-x,y,z'
'-y+1/4,-x+1/4,-z+3/4'
'y+1/4,x+1/4,z+3/4'
'-x+1/2,y,-z+1/2'
'x+1/2,-y,z+1/2'
'y+1/4,x+3/4,-z+1/4'
'-y+1/4,-x+3/4,z+1/4'
'x+1/2,y+1/2,z+1/2'
'-x+1/2,-y+1/2,-z+1/2'
'-y+3/4,x+1/4,z+3/4'
'y+3/4,-x+1/4,-z+3/4'
'-x,-y+1/2,z'
'x,y+1/2,-z'
'y+3/4,-x+3/4,z+1/4'
'-y+3/4,x+3/4,-z+1/4'
'x+1/2,-y+1/2,-z+1/2'
'-x+1/2,y+1/2,z+1/2'
'-y+3/4,-x+3/4,-z+1/4'
'y+3/4,x+3/4,z+1/4'
'-x,y+1/2,-z'
'x,-y+1/2,z'
'y+3/4,x+1/4,-z+3/4'
'-y+3/4,-x+1/4,z+3/4'
loop_
_atom_site_label
_atom_site_type_symbol
_atom_site_fract_x
_atom_site_fract_y
_atom_site_fract_z
_atom_site_occupancy
Nd1 Nd 0.000 0.013 0.343 1
Nd2 Nd 0.172 0.078 0.875 1
Si1 Si 0.000 0.126 0.097 1
S1 S 0.000 0.250 0.375 1
S2 S 0.000 0.250 0.875 1
S3 S 0.148 0.000 0.500 1
O1 O 0.000 0.021 0.175 1
O2 O 0.000 0.250 0.148 1
O3 O 0.121 0.109 0.043 1
# Raw formation energy: -3.183 eV per atom
# Density of states at the Fermi level: 0.000 states/eV per atom


(7)
# Nd3SbO7 (SCAN, PBEsol geometry)
data_Nd3SbO7
_cell_length_a 7.614
_cell_length_b 10.829
_cell_length_c 7.683
_cell_angle_alpha 90.00
_cell_angle_beta 90.00
_cell_angle_gamma 90.00
_space_group_name_H-M_alt 'C m c m'
_space_group_IT_number 63
_space_group_name_Hall '-C 2c 2'
loop_
_atom_site_label
_atom_site_type_symbol
_atom_site_fract_x
_atom_site_fract_y
_atom_site_fract_z
_atom_site_occupancy
Nd1 Nd 0.000 0.000 0.000 1
Nd2 Nd 0.234 0.267 0.250 1
Sb1 Sb 0.000 0.500 0.000 1
O1 O 0.000 0.130 0.750 1
O2 O 0.000 0.134 0.250 1
O3 O 0.000 0.436 0.250 1
O4 O 0.193 0.378 0.528 1
# Raw formation energy: -3.150 eV per atom
# Density of states at the Fermi level: 0.000 states/eV per atom


(8)
# Nd2SbO2 (SCAN, PBEsol geometry)
data_Nd2SbO2
_cell_length_a 3.942
_cell_length_b 3.942
_cell_length_c 13.622
_cell_angle_alpha 90.00
_cell_angle_beta 90.00
_cell_angle_gamma 90.00
_space_group_name_H-M_alt 'I 4/m m m'
_space_group_IT_number 139
_space_group_name_Hall '-I 4 2'
loop_
_atom_site_label
_atom_site_type_symbol
_atom_site_fract_x
_atom_site_fract_y
_atom_site_fract_z
_atom_site_occupancy
Nd1 Nd 0.000 0.000 0.162 1
Sb1 Sb 0.000 0.000 0.500 1
O1 O 0.000 0.500 0.250 1
# Raw formation energy: -2.870 eV per atom
# Density of states at the Fermi level: 0.174 states/eV per atom